# VZnTcPt

A geometry-optimized VZnTcPt structure (PBE-GGA, the Alexandria database).

Cell lengths 6.096, 6.096, 6.096 Å; angles 90.00, 90.00, 90.00 degrees
Space group F-43m (No. 216)
Unique sites:
V 0.000 0.000 0.000 [4 per cell]
Zn 0.000 0.000 0.500 [4 per cell]
Tc 0.250 0.250 0.750 [4 per cell]
Pt 0.250 0.250 0.250 [4 per cell]

calculated formation energy: -0.308 eV/atom

***

# TcPtW

A geometry-optimized TcPtW structure (PBE-GGA, the Alexandria database).

Cell lengths 2.682, 4.073, 8.440 Å; angles 90.00, 90.00, 90.00 degrees
Space group Imm2 (No. 44)
Unique sites:
Tc 0.000 0.000 0.000 [2 per cell]
Pt 0.000 0.000 0.333 [2 per cell]
W 0.000 0.000 0.664 [2 per cell]

calculated formation energy: -0.077 eV/atom
E above lowest polymorph: 14 kJ/mol of formula units

***

# TcPtW

A geometry-optimized TcPtW structure (PBE-GGA, the Alexandria database).

Cell lengths 4.5009, 4.5009, 2.6715 Å; angles 90.00, 90.00, 120.00 degrees
Space group P3m1 (No. 156)
Unique sites:
Tc 0.0000 0.0000 0.0000 [1 per cell]
Pt 0.3333 0.6667 0.5011 [1 per cell]
W 0.6667 0.3333 0.4436 [1 per cell]

calculated formation energy: 0.000 eV/atom
E above lowest polymorph: 36 kJ/mol of formula units

***

# TcPtW

A geometry-optimized TcPtW structure (PBE-GGA, the Alexandria database).

Cell lengths 2.779, 2.779, 11.958 Å; angles 90.00, 90.00, 90.00 degrees
Space group I4mm (No. 107)
Unique sites:
Tc 0.000 0.000 0.000 [2 per cell]
Pt 0.000 0.000 0.670 [2 per cell]
W 0.000 0.000 0.340 [2 per cell]

calculated formation energy: -0.058 eV/atom
E above lowest polymorph: 19 kJ/mol of formula units

***

# TcPt4W

A geometry-optimized TcPt4W structure (PBE-GGA, the Alexandria database).

Cell lengths 7.297, 7.297, 7.297 Å; angles 90.00, 90.00, 90.00 degrees
Space group F-43m (No. 216)
Unique sites:
Tc 0.000 0.000 0.000 [4 per cell]
Pt 0.125 0.125 0.375 [16 per cell]
W 0.250 0.250 0.750 [4 per cell]

calculated formation energy: 0.311 eV/atom
E above lowest polymorph: 316 kJ/mol of formula units

***

# TcPtW4

A geometry-optimized TcPtW4 structure (PBE-GGA, the Alexandria database).

Cell lengths 7.351, 7.351, 7.351 Å; angles 90.00, 90.00, 90.00 degrees
Space group F-43m (No. 216)
Unique sites:
Tc 0.000 0.000 0.000 [4 per cell]
Pt 0.250 0.250 0.250 [4 per cell]
W 0.125 0.125 0.625 [16 per cell]

calculated formation energy: 0.339 eV/atom

***

# TcPtW

A geometry-optimized TcPtW structure (PBE-GGA, the Alexandria database).

Cell lengths 14.031, 2.674, 5.361 Å; angles 90.00, 103.69, 90.00 degrees
Space group C2/m (No. 12)
Unique sites:
Tc 0.241 0.000 0.226 [4 per cell]
Pt 0.080 0.500 0.892 [4 per cell]
W 0.099 0.500 0.413 [4 per cell]

calculated formation energy: 0.294 eV/atom
E above lowest polymorph: 121 kJ/mol of formula units

***

# TcPtW

A geometry-optimized TcPtW structure (PBE-GGA, the Alexandria database).

Cell lengths 3.283, 3.283, 8.766 Å; angles 90.00, 90.00, 90.00 degrees
Space group I4mm (No. 107)
Unique sites:
Tc 0.000 0.000 0.000 [2 per cell]
Pt 0.000 0.000 0.316 [2 per cell]
W 0.000 0.000 0.645 [2 per cell]

calculated formation energy: 0.067 eV/atom
E above lowest polymorph: 56 kJ/mol of formula units